DFT (PBE) results for crystalline KAs at its relaxed geometry.

Results
**Energy relative to the lowest polymorph listed for this composition**: 10.4 kJ/mol of atoms

```
data_KAs
_cell_length_a 5.3070
_cell_length_b 13.7303
_cell_length_c 6.6720
_cell_angle_alpha 90.00
_cell_angle_beta 90.00
_cell_angle_gamma 90.00
_space_group_name_H-M_alt 'P m m n'
_space_group_IT_number 59
loop_
_space_group_symop_operation_xyz
'x,y,z'
'-x,-y,-z'
'-x+1/2,-y+1/2,z'
'x+1/2,y+1/2,-z'
'x+1/2,-y,-z'
'-x+1/2,y,z'
'-x,y+1/2,-z'
'x,-y+1/2,z'
loop_
_atom_site_label
_atom_site_type_symbol
_atom_site_fract_x
_atom_site_fract_y
_atom_site_fract_z
_atom_site_occupancy
K1 K 0.2500 0.0459 0.2109 1
K2 K 0.2500 0.7500 0.4471 1
As1 As 0.2500 0.1054 0.7093 1
As2 As 0.2500 0.2500 0.8984 1
```

DFT (PBE) results for crystalline Sr2Li12Cd3Hg at its relaxed geometry.

```
data_Sr2Li12Cd3Hg
_cell_length_a 7.0350
_cell_length_b 7.0350
_cell_length_c 31.2837
_cell_angle_alpha 90.00
_cell_angle_beta 90.00
_cell_angle_gamma 120.00
_space_group_name_H-M_alt 'R -3 m'
_space_group_IT_number 166
_space_group_name_Hall '-R 3 2"'
loop_
_atom_site_label
_atom_site_type_symbol
_atom_site_fract_x
_atom_site_fract_y
_atom_site_fract_z
_atom_site_occupancy
Sr1 Sr 0.0000 0.0000 0.1501 1
Li1 Li 0.0524 0.5262 0.0944 1
Li2 Li 0.0746 0.5373 0.6213 1
Cd1 Cd 0.0000 0.5000 0.0000 1
Hg1 Hg 0.0000 0.0000 0.5000 1
```

DFT (PBE) results for crystalline MgAl6Pd12 at its relaxed geometry.

```
data_MgAl6Pd12
_cell_length_a 10.8773
_cell_length_b 10.8773
_cell_length_c 9.7726
_cell_angle_alpha 90.00
_cell_angle_beta 90.00
_cell_angle_gamma 120.00
_space_group_name_H-M_alt 'R -3'
_space_group_IT_number 148
_space_group_name_Hall '-R 3'
loop_
_atom_site_label
_atom_site_type_symbol
_atom_site_fract_x
_atom_site_fract_y
_atom_site_fract_z
_atom_site_occupancy
Mg1 Mg 0.0000 0.0000 0.0000 1
Al1 Al 0.0463 0.2094 0.6822 1
Pd1 Pd 0.0471 0.2526 0.9300 1
Pd2 Pd 0.0593 0.2454 0.4243 1
```

Number 1: calculated formation energy -356.4 meV/atom. Number 2: calculated formation energy -7.6 meV/atom. Number 3: calculated formation energy -524.6 meV/atom.